Record 1
K2ScZn | Alexandria via LeMat-Bulk | PBE | relaxed; symmetry = I4/mmm (139); calculated formation energy = 0.544 eV per atom; N(E_F) = 5.6 states/eV/cell; total energy = -1.906 eV per atom
1.0
7.0282 0.0001 0.0000
4.0007 5.7785 0.0000
-5.5145 -2.8893 3.2617
K Sc Zn
2 1 1
direct
0.0000 0.0000 0.0000 K
0.5000 0.5000 0.0000 K
0.7500 0.2500 0.5000 Sc
0.2500 0.7500 0.5000 Zn

Record 2
K2ScZn | Alexandria via LeMat-Bulk | PBE | relaxed; symmetry = P4/mmm (123); calculated formation energy = 0.664 eV per atom; N(E_F) = 4.9 states/eV/cell; total energy = -1.786 eV per atom
1.0
6.0335 0.0000 0.0000
0.0000 6.0335 0.0000
0.0000 0.0000 4.2134
K Sc Zn
2 1 1
direct
0.0000 0.0000 0.0000 K
0.5000 0.5000 0.0000 K
0.5000 0.0000 0.5000 Sc
0.0000 0.5000 0.5000 Zn

Record 3
KSc2Zn | Alexandria via LeMat-Bulk | PBE | relaxed; symmetry = Cm (8); calculated formation energy = 0.340 eV per atom; N(E_F) = 5.0 states/eV/cell; total energy = -3.418 eV per atom
1.0
5.4172 0.0064 0.0071
4.4408 3.1025 0.0071
0.8820 0.2782 7.3899
K Sc Zn
1 2 1
direct
0.2363 0.2363 0.2649 K
0.0156 0.0156 0.8978 Sc
0.7552 0.7552 0.7356 Sc
0.4928 0.4928 0.6017 Zn

Record 4
KSc4Zn | Alexandria via LeMat-Bulk | PBE | relaxed; symmetry = F-43m (216); calculated formation energy = 0.570 eV per atom; N(E_F) = 9.2 states/eV/cell; total energy = -4.046 eV per atom
1.0
3.0479 -4.6035 2.7542
0.0750 -0.4017 6.1564
-3.1206 -4.5042 2.8359
K Sc Zn
1 4 1
direct
0.0000 0.0000 0.0000 K
0.8665 0.3778 0.3778 Sc
0.3778 0.3778 0.8665 Sc
0.3778 0.8665 0.3778 Sc
0.3778 0.3778 0.3778 Sc
0.7500 0.7500 0.7500 Zn

Record 5
K2ScZn | Alexandria via LeMat-Bulk | PBE | relaxed; symmetry = Pmmm (47); calculated formation energy = 0.535 eV per atom; N(E_F) = 5.3 states/eV/cell; total energy = -1.915 eV per atom
1.0
-3.9347 -0.7230 -0.2599
0.8996 -3.5701 -3.6876
0.5228 -4.4337 4.4200
K Sc Zn
2 1 1
direct
0.0000 0.0000 0.0000 K
0.5000 0.5000 0.0000 K
0.5000 0.0000 0.5000 Sc
0.0000 0.5000 0.5000 Zn

Record 6
K2ScZn | Alexandria via LeMat-Bulk | PBE | relaxed; symmetry = I-4m2 (119); calculated formation energy = 0.588 eV per atom; N(E_F) = 4.3 states/eV/cell; total energy = -1.862 eV per atom
1.0
-1.2690 4.2656 -3.6610
2.4329 -2.9309 -4.3243
-4.1489 -2.4272 3.1786
K Sc Zn
2 1 1
direct
0.0000 0.0000 0.0000 K
0.2500 0.7500 0.5000 K
0.5000 0.5000 0.0000 Sc
0.7500 0.2500 0.5000 Zn

Record 7
KSc2Zn | Alexandria via LeMat-Bulk | PBE | relaxed; symmetry = P4/mmm (123); calculated formation energy = 0.534 eV per atom; N(E_F) = 4.9 states/eV/cell; total energy = -3.225 eV per atom
1.0
-1.9877 -3.8499 2.6632
2.4143 1.2802 3.6525
-3.4353 2.6918 1.3273
K Sc Zn
1 2 1
direct
0.5000 0.0000 0.5000 K
0.0000 0.0000 0.0000 Sc
0.0000 0.5000 0.5000 Sc
0.5000 0.5000 0.0000 Zn

Record 8
K2ScZn | Alexandria via LeMat-Bulk | PBE | relaxed; symmetry = P2/m (10); calculated formation energy = 0.564 eV per atom; N(E_F) = 4.5 states/eV/cell; total energy = -1.886 eV per atom
1.0
6.0922 0.0000 0.0000
0.0000 3.5670 -0.0004
0.0000 2.0817 6.4623
K Sc Zn
2 1 1
direct
0.0000 0.9385 0.9858 K
0.0000 0.5615 0.5142 K
0.5000 0.2500 0.2500 Sc
0.5000 0.7500 0.7500 Zn

Record 9
K2ScZn | Alexandria via LeMat-Bulk | PBE | relaxed; symmetry = C2/m (12); calculated formation energy = 0.560 eV per atom; N(E_F) = 4.0 states/eV/cell; total energy = -1.890 eV per atom
1.0
7.2623 -0.1993 0.4154
-4.1291 5.9776 0.4154
0.5961 1.0994 3.2253
K Sc Zn
2 1 1
direct
0.0000 0.0000 0.0000 K
0.5000 0.5000 0.0000 K
0.5000 0.0000 0.5000 Sc
0.0000 0.5000 0.5000 Zn

Record 10
KSc2Zn | Alexandria via LeMat-Bulk | PBE | relaxed; symmetry = R-3m (166); calculated formation energy = 0.240 eV per atom; N(E_F) = 5.6 states/eV/cell; total energy = -3.519 eV per atom
1.0
-10.8274 2.6704 -1.3750
-11.2258 -0.1961 0.4428
-10.6946 2.7792 2.0383
K Sc Zn
1 2 1
direct
0.7500 0.7500 0.7500 K
0.9787 0.9787 0.9787 Sc
0.5213 0.5213 0.5213 Sc
0.2500 0.2500 0.2500 Zn

Record 11
KScZn4 | Alexandria via LeMat-Bulk | PBE | relaxed; symmetry = F-43m (216); calculated formation energy = 0.071 eV per atom; N(E_F) = 6.1 states/eV/cell; total energy = -2.017 eV per atom
1.0
2.9750 1.1134 4.5110
-0.8902 4.6639 2.8099
-2.3657 -0.1890 4.9808
K Sc Zn
1 1 4
direct
0.7500 0.7500 0.7500 K
0.0000 0.0000 0.0000 Sc
0.3733 0.8800 0.3733 Zn
0.8800 0.3733 0.3733 Zn
0.3733 0.3733 0.8800 Zn
0.3733 0.3733 0.3733 Zn

Record 12
KSc2Zn | Alexandria via LeMat-Bulk | PBE | relaxed; symmetry = Cmmm (65); calculated formation energy = 0.593 eV per atom; N(E_F) = 5.4 states/eV/cell; total energy = -3.166 eV per atom
1.0
6.3551 -0.0482 0.0000
-3.2236 5.4770 0.0000
0.0000 0.0000 3.0843
K Sc Zn
1 2 1
direct
0.0000 0.5000 0.5000 K
0.0000 0.0000 0.0000 Sc
0.5000 0.5000 0.0000 Sc
0.5000 0.0000 0.5000 Zn